CsNbSb | PBE | relaxed

abc: 5.4912 5.4912 5.4912
angles: 60.00 60.00 60.00
Closest atoms and distances in Å follow each position.
Fractional coordinates of all 3 atoms:
Cs  0.0000  0.0000  0.0000  4 Sb 3.36, 4 Nb 3.36
Nb  0.2500  0.2500  0.2500  4 Cs 3.36
Sb  0.7500  0.7500  0.7500  4 Cs 3.36

- excess energy over the best structure of this formula in the dataset (meV/atom) = 809
- E (eV per atom) = -3.258
- ρ (Mg/m³) = 4.93
- total magnetization (μB per cell) = 3.00
- SG = F-43m, No. 216



CsNbSb | PBE | relaxed

abc: 5.0454 5.0454 5.0454
angles: 60.00 60.00 60.00
Closest atoms and distances in Å follow each position.
Fractional coordinates of all 3 atoms:
Nb  0.0000  0.0000  0.0000  4 Cs 3.09, 4 Sb 3.09
Sb  0.7500  0.7500  0.7500  4 Nb 3.09
Cs  0.2500  0.2500  0.2500  4 Nb 3.09

- excess energy over the best structure of this formula in the dataset (meV/atom) = 0
- E (eV per atom) = -4.067
- ρ (Mg/m³) = 6.35
- total magnetization (μB per cell) = 2.70
- SG = F-43m, No. 216



Cs3NbSe4 | PBE | relaxed

abc: 10.4022 12.0811 10.4315
angles: 90.00 90.00 90.00
Closest atoms and distances in Å follow each position.
Fractional coordinates of all 32 atoms:
Se  0.2935  0.7500  0.7505  1 Nb 2.42
Se  0.3328  0.0842  0.5486  1 Nb 2.42
Se  0.6672  0.9158  0.4514  1 Nb 2.42
Se  0.8328  0.0842  0.9514  1 Nb 2.42
Se  0.4943  0.7500  0.0716  1 Nb 2.43
Se  0.8328  0.4158  0.9514  1 Nb 2.42
Se  0.6672  0.5842  0.4514  1 Nb 2.42
Se  0.1672  0.9158  0.0486  1 Nb 2.42
Se  0.9943  0.7500  0.4284  1 Nb 2.43
Se  0.0057  0.2500  0.5716  1 Nb 2.43
Se  0.2065  0.2500  0.2505  1 Nb 2.42
Se  0.1672  0.5842  0.0486  1 Nb 2.42
Se  0.3328  0.4158  0.5486  1 Nb 2.42
Se  0.5057  0.2500  0.9284  1 Nb 2.43
Se  0.7065  0.2500  0.2495  1 Nb 2.42
Se  0.7935  0.7500  0.7495  1 Nb 2.42
Cs  0.0468  0.9579  0.7076  7 Se 3.62-3.88
Cs  0.0468  0.5421  0.7076  7 Se 3.62-3.88
Cs  0.1459  0.2500  0.9101  5 Se 3.61-3.85
Cs  0.8541  0.7500  0.0899  5 Se 3.61-3.85
Cs  0.4532  0.0421  0.2076  7 Se 3.62-3.88
Cs  0.5468  0.5421  0.7924  7 Se 3.62-3.88
Cs  0.9532  0.4579  0.2924  7 Se 3.62-3.88
Cs  0.3541  0.7500  0.4101  5 Se 3.61-3.85
Cs  0.5468  0.9579  0.7924  7 Se 3.62-3.88
Cs  0.9532  0.0421  0.2924  7 Se 3.62-3.88
Cs  0.6459  0.2500  0.5899  5 Se 3.61-3.85
Cs  0.4532  0.4579  0.2076  7 Se 3.62-3.88
Nb  0.2788  0.7500  0.9821  4 Se 2.42-2.43
Nb  0.7788  0.7500  0.5179  4 Se 2.42-2.43
Nb  0.2212  0.2500  0.4821  4 Se 2.42-2.43
Nb  0.7212  0.2500  0.0179  4 Se 2.42-2.43

- E (eV per atom) = -4.510
- ρ (Mg/m³) = 4.09
- total magnetization (μB per cell) = 0.01
- SG = Pnma, No. 62



CsNbSe3 | PBE | relaxed

abc: 8.4800 8.4800 6.3929
angles: 90.00 90.00 120.00
Closest atoms and distances in Å follow each position.
Fractional coordinates of all 10 atoms:
Se  0.9788  0.7498  0.6739  2 Nb 2.56-2.63
Se  0.7498  0.9788  0.1739  2 Nb 2.56-2.63
Se  0.2290  0.2502  0.1739  2 Nb 2.56-2.63
Se  0.0212  0.7710  0.1739  2 Nb 2.56-2.63
Se  0.7710  0.0212  0.6739  2 Nb 2.56-2.63
Se  0.2502  0.2290  0.6739  2 Nb 2.56-2.63
Cs  0.3333  0.6667  0.4692  6 Se 3.66-3.70
Cs  0.6667  0.3333  0.9692  6 Se 3.66-3.70
Nb  0.0000  0.0000  0.4327  6 Se 2.56-2.63
Nb  0.0000  0.0000  0.9327  6 Se 2.56-2.63

- E (eV per atom) = -5.262
- ρ (Mg/m³) = 3.86
- total magnetization (μB per cell) = 0.00
- SG = P31c, No. 159



CsSmNbSe3 | PBE | relaxed

abc: 8.4103 8.4103 11.1250
angles: 90.00 90.00 150.57
Closest atoms and distances in Å follow each position.
Fractional coordinates of all 12 atoms:
Cs  0.2625  0.7375  0.2500  8 Se 3.61-3.95
Cs  0.7375  0.2625  0.7500  8 Se 3.61-3.95
Se  0.3809  0.6191  0.9399  1 Nb 2.55
Se  0.6191  0.3809  0.0601  1 Nb 2.55
Se  0.0587  0.9413  0.7500  2 Nb 2.59
Se  0.9413  0.0587  0.2500  2 Nb 2.59
Se  0.6191  0.3809  0.4399  1 Nb 2.55
Se  0.3809  0.6191  0.5601  1 Nb 2.55
Nb  0.5316  0.4684  0.2500  4 Se 2.55-2.59
Nb  0.4684  0.5316  0.7500  4 Se 2.55-2.59
Sm  0.0000  0.0000  0.5000  6 Se 2.94-2.96
Sm  0.0000  0.0000  0.0000  6 Se 2.94-2.96

- E (eV per atom) = -5.532
- ρ (Mg/m³) = 5.27
- total magnetization (μB per cell) = 3.03
- SG = Cmcm, No. 63



CsNb3Si5 | PBE | relaxed

abc: 5.4441 5.4441 8.8273
angles: 90.00 90.00 120.00
Closest atoms and distances in Å follow each position.
Fractional coordinates of all 9 atoms:
Si  0.3333  0.6667  0.7507  3 Nb 2.71
Si  0.0000  0.0000  0.5000  6 Nb 2.72
Si  0.6667  0.3333  0.7507  3 Nb 2.71
Si  0.6667  0.3333  0.2493  3 Nb 2.71
Si  0.3333  0.6667  0.2493  3 Nb 2.71
Nb  0.0000  0.5000  0.5000  6 Si 2.71-2.72, 4 Nb 2.72
Nb  0.5000  0.0000  0.5000  6 Si 2.71-2.72, 4 Nb 2.72
Nb  0.5000  0.5000  0.5000  6 Si 2.71-2.72, 4 Nb 2.72
Cs  0.0000  0.0000  0.0000  12 Si 3.84

- E (eV per atom) = -6.268
- ρ (Mg/m³) = 4.05
- total magnetization (μB per cell) = 0.00
- SG = P6/mmm, No. 191



CsNbSi | PBE | relaxed

abc: 5.0452 5.0452 5.0452
angles: 60.00 60.00 60.00
Closest atoms and distances in Å follow each position.
Fractional coordinates of all 3 atoms:
Cs  0.0000  0.0000  0.0000  4 Nb 3.09, 4 Si 3.09
Si  0.7500  0.7500  0.7500  4 Cs 3.09
Nb  0.2500  0.2500  0.2500  4 Cs 3.09

- excess energy over the best structure of this formula in the dataset (meV/atom) = 782
- E (eV per atom) = -3.136
- ρ (Mg/m³) = 4.64
- total magnetization (μB per cell) = 2.14
- SG = F-43m, No. 216



CsNbSi | PBE | relaxed

abc: 5.0399 5.0399 5.0399
angles: 60.00 60.00 60.00
Closest atoms and distances in Å follow each position.
Fractional coordinates of all 3 atoms:
Nb  0.7500  0.7500  0.7500  4 Si 3.09
Cs  0.2500  0.2500  0.2500  4 Si 3.09
Si  0.0000  0.0000  0.0000  4 Nb 3.09, 4 Cs 3.09

- excess energy over the best structure of this formula in the dataset (meV/atom) = 0
- E (eV per atom) = -3.918
- ρ (Mg/m³) = 4.66
- total magnetization (μB per cell) = 2.00
- SG = F-43m, No. 216



CsNbSn | PBE | relaxed

abc: 5.1598 5.1598 5.1598
angles: 60.00 60.00 60.00
Closest atoms and distances in Å follow each position.
Fractional coordinates of all 3 atoms:
Nb  0.0000  0.0000  0.0000  4 Sn 3.16, 4 Cs 3.16
Sn  0.7500  0.7500  0.7500  4 Nb 3.16
Cs  0.2500  0.2500  0.2500  4 Nb 3.16

- excess energy over the best structure of this formula in the dataset (meV/atom) = 0
- E (eV per atom) = -3.873
- ρ (Mg/m³) = 5.89
- total magnetization (μB per cell) = 2.00
- SG = F-43m, No. 216



CsNbSn | PBE | relaxed

abc: 5.4503 5.4503 5.4503
angles: 60.00 60.00 60.00
Closest atoms and distances in Å follow each position.
Fractional coordinates of all 3 atoms:
Nb  0.2500  0.2500  0.2500  4 Cs 3.34
Sn  0.7500  0.7500  0.7500  4 Cs 3.34
Cs  0.0000  0.0000  0.0000  4 Nb 3.34, 4 Sn 3.34

- excess energy over the best structure of this formula in the dataset (meV/atom) = 868
- E (eV per atom) = -3.005
- ρ (Mg/m³) = 5.00
- total magnetization (μB per cell) = 2.68
- SG = F-43m, No. 216



CsNb3Sn5 | PBE | relaxed

abc: 5.7306 5.7306 9.0355
angles: 90.00 90.00 120.00
Closest atoms and distances in Å follow each position.
Fractional coordinates of all 9 atoms:
Sn  0.6667  0.3333  0.2249  3 Nb 2.99, 3 Sn 3.31
Sn  0.6667  0.3333  0.7751  3 Nb 2.99, 3 Sn 3.31
Sn  0.0000  0.0000  0.5000  6 Nb 2.87
Sn  0.3333  0.6667  0.7751  3 Nb 2.99, 3 Sn 3.31
Sn  0.3333  0.6667  0.2249  3 Nb 2.99, 3 Sn 3.31
Nb  0.5000  0.5000  0.5000  4 Nb 2.87, 6 Sn 2.87-2.99
Nb  0.0000  0.5000  0.5000  4 Nb 2.87, 6 Sn 2.87-2.99
Nb  0.5000  0.0000  0.5000  6 Sn 2.87-2.99, 4 Nb 2.87
Cs  0.0000  0.0000  0.0000  12 Sn 3.88

- E (eV per atom) = -5.757
- ρ (Mg/m³) = 6.50
- total magnetization (μB per cell) = 0.00
- SG = P6/mmm, No. 191



CsSrNb | PBE | relaxed

abc: 5.9490 5.9490 5.9490
angles: 60.00 60.00 60.00
Closest atoms and distances in Å follow each position.
Fractional coordinates of all 3 atoms:
Cs  0.0000  0.0000  0.0000  4 Nb 3.64, 4 Sr 3.64
Nb  0.2500  0.2500  0.2500  4 Cs 3.64
Sr  0.7500  0.7500  0.7500  4 Cs 3.64

- excess energy over the best structure of this formula in the dataset (meV/atom) = 388
- E (eV per atom) = -2.332
- ρ (Mg/m³) = 3.50
- total magnetization (μB per cell) = 4.91
- SG = F-43m, No. 216